1.
A relaxed Li3ScRe crystal. Source: Alexandria, functional GGA-PBE.

Output
For the relative energy among the computed polymorphs, the calculation gives 0.000 eV/atom. The magnetic moment comes out at 0.00 μB per cell. The value obtained for the formation energy is 1.2329 eV per atom. As for the space group: Pm-3m, No. 221.

```
Li3ScRe
1.0
4.614 0.000 0.000
0.000 4.614 0.000
0.000 0.000 4.614
Li Sc Re
3 1 1
Direct
0.000 0.000 0.500 Li
0.000 0.500 0.000 Li
0.500 0.000 0.000 Li
0.500 0.500 0.500 Sc
0.000 0.000 0.000 Re
```

=====

2.
A relaxed LiScRe3 crystal. Source: Alexandria, functional GGA-PBE.

Output
For the relative energy among the computed polymorphs, the calculation gives 0.000 eV/atom. The magnetic moment comes out at 0.00 μB per cell. The value obtained for the formation energy is 1.1102 eV per atom. As for the space group: Pm-3m, No. 221.

```
LiScRe3
1.0
4.247 0.000 0.000
0.000 4.247 0.000
0.000 0.000 4.247
Li Sc Re
1 1 3
Direct
0.000 0.000 0.000 Li
0.500 0.500 0.500 Sc
0.000 0.000 0.500 Re
0.000 0.500 0.000 Re
0.500 0.000 0.000 Re
```

=====

3.
A relaxed Li2ScRe crystal. Source: Alexandria, functional GGA-PBE.

Output
For the relative energy among the computed polymorphs, the calculation gives 0.067 eV/atom. The magnetic moment comes out at 0.00 μB per cell. The value obtained for the formation energy is 0.2550 eV per atom. As for the space group: P2/m, No. 10.

```
Li2ScRe
1.0
2.680 0.000 0.000
0.000 5.002 0.000
-0.688 0.000 4.964
Li Sc Re
2 1 1
Direct
0.246 0.000 0.217 Li
0.754 0.000 0.783 Li
0.000 0.500 0.500 Sc
0.500 0.500 0.000 Re
```

=====

4.
A relaxed LiScRe crystal. Source: Alexandria, functional GGA-PBE.

Output
For the relative energy among the computed polymorphs, the calculation gives 0.026 eV/atom. The magnetic moment comes out at 0.01 μB per cell. The value obtained for the formation energy is 0.2230 eV per atom. As for the space group: Imm2, No. 44.

```
LiScRe
1.0
-1.325 2.169 4.286
1.325 -2.169 4.286
1.325 2.169 -4.286
Li Sc Re
1 1 1
Direct
0.000 0.000 0.000 Li
0.322 0.322 0.000 Sc
0.663 0.663 0.000 Re
```

=====

5.
A relaxed Li2ScRe crystal. Source: Alexandria, functional GGA-PBE.

Output
For the relative energy among the computed polymorphs, the calculation gives 0.000 eV/atom. The magnetic moment comes out at 0.00 μB per cell. The value obtained for the formation energy is 0.1878 eV per atom. As for the space group: Cmm2, No. 35.

```
Li2ScRe
1.0
1.614 -2.276 0.000
1.614 2.276 0.000
0.000 0.000 9.656
Li Sc Re
2 1 1
Direct
0.000 0.000 0.000 Li
0.500 0.500 0.264 Li
0.500 0.500 0.714 Sc
0.000 0.000 0.490 Re
```

=====

6.
A relaxed Li2ScRe crystal. Source: Alexandria, functional GGA-PBE.

Output
For the relative energy among the computed polymorphs, the calculation gives 0.379 eV/atom. The magnetic moment comes out at 0.00 μB per cell. The value obtained for the formation energy is 0.5671 eV per atom. As for the space group: I-42d, No. 122.

```
Li2ScRe
1.0
-1.868 1.868 10.306
1.868 -1.868 10.306
1.868 1.868 -10.306
Li Sc Re
4 2 2
Direct
0.091 0.625 0.966 Li
0.375 0.341 0.466 Li
0.659 0.125 0.034 Li
0.875 0.909 0.534 Li
0.250 0.750 0.500 Sc
0.500 0.500 0.000 Sc
0.000 0.000 0.000 Re
0.750 0.250 0.500 Re
```

=====

7.
A relaxed Li2ScRe crystal. Source: Alexandria, functional GGA-PBE.

Output
For the relative energy among the computed polymorphs, the calculation gives 0.050 eV/atom. The magnetic moment comes out at 0.00 μB per cell. The value obtained for the formation energy is 0.2381 eV per atom. As for the space group: P4mm, No. 99.

```
Li2ScRe
1.0
2.730 0.000 0.000
0.000 2.730 0.000
0.000 0.000 9.452
Li Sc Re
2 1 1
Direct
0.000 0.000 0.000 Li
0.500 0.500 0.261 Li
0.500 0.500 0.717 Sc
0.000 0.000 0.484 Re
```

=====

8.
A relaxed Li2ScRe crystal. Source: Alexandria, functional GGA-PBE.

Output
For the relative energy among the computed polymorphs, the calculation gives 0.059 eV/atom. The magnetic moment comes out at 0.00 μB per cell. The value obtained for the formation energy is 0.2468 eV per atom. As for the space group: C2/m, No. 12.

```
Li2ScRe
1.0
5.084 -1.325 0.000
5.084 1.325 0.000
-0.551 0.000 4.957
Li Sc Re
2 1 1
Direct
0.241 0.241 0.216 Li
0.759 0.759 0.784 Li
0.000 0.000 0.500 Sc
0.500 0.500 0.000 Re
```